[1]
Entry from Alexandria via LeMat-Bulk: a relaxed CeEr2Al crystal (PBE).

a b c (Å): 3.444 3.444 8.980
angles (deg): 90.00 90.00 90.00
Last column: magnetic moment on the atom in μB.
Fractional positions:
1 Ce 0.500 0.500 0.500  0.65
2 Er 0.000 0.000 0.216  0.03
3 Er 0.000 0.000 0.784  0.03
4 Al 0.500 0.500 0.000  0.00

**ΔE_f**: -157 meV/atom
**Symmetry**: No. 123
**ΔE to the lowest computed polymorph**: 0 meV/atom


[2]
Entry from Alexandria via LeMat-Bulk: a relaxed Ce2Er2Al crystal (PBE).

a b c (Å): 3.790 3.790 10.193
angles (deg): 100.71 100.71 90.00
Fractional positions:
1 Er 0.586 0.586 0.172
2 Er 0.414 0.414 0.828
3 Ce 0.750 0.250 0.500
4 Ce 0.250 0.750 0.500
5 Al 0.000 0.000 0.000

**ΔE_f**: 254 meV/atom
**Symmetry**: No. 139


[3]
Entry from Alexandria via LeMat-Bulk: a relaxed CeEuErAl crystal (PBE).

a b c (Å): 5.383 5.383 5.383
angles (deg): 60.00 60.00 60.00
Last column: magnetic moment on the atom in μB.
Fractional positions:
1 Er 0.750 0.750 0.750  0.30
2 Eu 0.500 0.500 0.500  6.99
3 Ce 0.250 0.250 0.250  0.93
4 Al 0.000 0.000 0.000  -0.04

**ΔE_f**: 3 meV/atom
**Symmetry**: No. 216


[4]
Entry from Alexandria via LeMat-Bulk: a relaxed CeErAlGa crystal (PBE).

a b c (Å): 5.103 5.103 5.103
angles (deg): 60.00 60.00 60.00
Last column: magnetic moment on the atom in μB.
Fractional positions:
1 Ga 0.250 0.250 0.250  0.02
2 Al 0.750 0.750 0.750  0.01
3 Er 0.500 0.500 0.500  0.02
4 Ce 0.000 0.000 0.000  0.62

**ΔE_f**: -424 meV/atom
**Symmetry**: No. 216


Number 1: theoretical density 7.82 g/cm³, electronic total energy -4.86 eV per atom. Number 2: theoretical density 7.55 g/cm³, electronic total energy -4.69 eV per atom. Number 3: theoretical density 7.32 g/cm³, electronic total energy -6.12 eV per atom. Number 4: theoretical density 7.14 g/cm³, electronic total energy -4.74 eV per atom.